# BaSc2Ag

A relaxed BaSc2Ag crystal (GGA-PBEsol, Alexandria).

Its energy of formation is 0.333 eV per atom. As for the calculated volume: 106.4 Å³ per cell. As for the space group: F-43m. Its distance to the lowest polymorph of the same formula is 29.0 kJ/mol of atoms. For the spin magnetization, the calculation gives 1.50 μB per cell.

Lattice parameters (Å, degrees): 5.3181 5.3181 5.3181 60.00 60.00 60.00
With the nearest neighbours (Å) after each atom.
Fractional coordinates of all 4 atoms:
Ba 0.2500 0.2500 0.2500  4 Sc 3.26, 4 Ag 3.26
Sc 0.0000 0.0000 0.0000  4 Ba 3.26, 4 Sc 3.26
Sc 0.7500 0.7500 0.7500  4 Ag 3.26, 4 Sc 3.26
Ag 0.5000 0.5000 0.5000  4 Sc 3.26, 4 Ba 3.26